1.
Compound: K2RbAsBr6
Source: Alexandria
Functional: PBEsol
Structure: relaxed

Calculated values
For the spin magnetization, the calculation gives 0.0 μB/cell. The formation energy from raw total energies comes out at -1122 meV/atom.

Cell: 11.5156 11.5156 11.5156 Å, 90.00 90.00 90.00°
With the nearest neighbours (Å) after each atom.
Space group Fm-3m (No. 225)
Asymmetric unit:
K 0.2500 0.2500 0.2500 [8 per cell]  12 Br 4.08
Rb 0.0000 0.0000 0.0000 [4 per cell]  6 Br 3.14
As 0.0000 0.0000 0.5000 [4 per cell]  6 Br 2.62
Br 0.0000 0.0000 0.2726 [24 per cell]  1 As 2.62



2.
Compound: KAs2SBr
Source: Alexandria
Functional: PBEsol
Structure: relaxed

Calculated values
For the spin magnetization, the calculation gives 0.0 μB/cell. The formation energy from raw total energies comes out at 2 meV/atom.

Cell: 4.6779 4.6779 7.5240 Å, 90.00 90.00 90.00°
With the nearest neighbours (Å) after each atom.
Space group P4/mmm (No. 123)
Asymmetric unit:
K 0.0000 0.0000 0.0000 [1 per cell]  4 Br 3.31
As 0.0000 0.5000 0.5000 [2 per cell]  2 S 2.34
S 0.5000 0.5000 0.5000 [1 per cell]  4 As 2.34
Br 0.5000 0.5000 0.0000 [1 per cell]  4 K 3.31



3.
Compound: KSrAs2Br
Source: Alexandria
Functional: PBEsol
Structure: relaxed

Calculated values
For the spin magnetization, the calculation gives 2.0 μB/cell. The formation energy from raw total energies comes out at -164 meV/atom.

Cell: 5.8286 5.8286 5.8809 Å, 90.00 90.00 90.00°
With the nearest neighbours (Å) after each atom.
Space group P4/mmm (No. 123)
Asymmetric unit:
K 0.0000 0.0000 0.0000 [1 per cell]  4 Br 4.12, 8 As 4.14
Sr 0.5000 0.5000 0.5000 [1 per cell]  4 As 2.91, 2 Br 2.94
As 0.0000 0.5000 0.5000 [2 per cell]  2 Sr 2.91
Br 0.5000 0.5000 0.0000 [1 per cell]  2 Sr 2.94



4.
Compound: KTcAsBr2
Source: Alexandria
Functional: PBEsol
Structure: relaxed

Calculated values
For the spin magnetization, the calculation gives 1.2 μB/cell. The formation energy from raw total energies comes out at -299 meV/atom.

Cell: 5.3273 5.3273 4.6624 Å, 90.00 90.00 90.00°
With the nearest neighbours (Å) after each atom.
Space group P4/mmm (No. 123)
Asymmetric unit:
K 0.0000 0.0000 0.0000 [1 per cell]  8 Br 3.54, 4 As 3.77
Tc 0.5000 0.5000 0.5000 [1 per cell]  2 As 2.33
As 0.5000 0.5000 0.0000 [1 per cell]  2 Tc 2.33
Br 0.0000 0.5000 0.5000 [2 per cell]  2 Tc 2.66